[1]
A geometry-optimized YAlSb2 structure. Source: Alexandria via LeMat-Bulk, functional PBE.

Cell: 4.163 4.163 6.301 Å, 90.00 90.00 90.00°
Space group P4mm (No. 99)
Unique sites:
Y 0.000 0.000 0.000 x1
Al 0.500 0.500 0.352 x1
Sb 0.000 0.000 0.486 x1
Sb 0.500 0.500 0.902 x1

Fermi-level density of states	1.43	states/eV/cell
volume	27.3	A^3/atom
raw formation energy	-0.44	eV per atom

=====

[2]
A geometry-optimized ReAsRu2 structure. Source: Alexandria via LeMat-Bulk, functional PBE.

Cell: 2.925 4.406 8.958 Å, 90.00 90.00 90.00°
Space group Imm2 (No. 44)
Unique sites:
Re 0.000 0.000 0.000 x2
As 0.000 0.500 0.273 x2
Ru 0.000 0.000 0.558 x2
Ru 0.000 0.500 0.769 x2

Fermi-level density of states	4.71	states/eV/cell
volume	14.4	A^3/atom
energy of formation from the pure elements	0.109	eV per atom

=====

[3]
A geometry-optimized Y3Ho2Er5 structure. Source: Alexandria via LeMat-Bulk, functional PBE.

Cell: 10.595 15.646 9.437 Å, 90.00 124.15 90.00°
Space group C2/c (No. 15)
Unique sites:
Y 0.000 0.233 0.250 x4
Y 0.149 0.120 0.046 x8
Ho 0.148 0.381 0.549 x8
Er 0.000 0.030 0.250 x4
Er 0.000 0.270 0.750 x4
Er 0.000 0.472 0.750 x4
Er 0.249 0.110 0.748 x8

Fermi-level density of states	68.32	states/eV/cell
volume	32.4	A^3/atom
energy of formation from the pure elements	0.204	eV per atom

=====

[4]
A geometry-optimized PrNpPd4 structure. Source: Alexandria via LeMat-Bulk, functional PBE.

Cell: 7.778 7.778 7.778 Å, 90.00 90.00 90.00°
Space group F-43m (No. 216)
Unique sites:
Pr 0.000 0.000 0.000 x4
Np 0.250 0.250 0.750 x4
Pd 0.124 0.124 0.376 x16

Fermi-level density of states	60.55	states/eV/cell
volume	19.6	A^3/atom
energy of formation from the pure elements	-0.485	eV per atom

=====

[5]
A geometry-optimized CaTiF2 structure. Source: Alexandria via LeMat-Bulk, functional PBE.

Cell: 3.1446 3.1446 22.5673 Å, 90.00 90.00 120.00°
Space group R-3m (No. 166, hexagonal axes)
Unique sites:
Ca 0.0000 0.0000 0.0000 x3
Ti 0.0000 0.0000 0.5000 x3
F 0.0000 0.0000 0.1022 x6

E above lowest polymorph	58.30	kJ/mol of atoms
Fermi-level density of states	8.51	states/eV/cell
volume	16.1	A^3/atom
raw formation energy	-1.72	eV per atom

=====

[6]
A geometry-optimized GaMoI2 structure. Source: Alexandria via LeMat-Bulk, functional PBE.

Cell: 7.226 7.226 11.112 Å, 90.00 90.00 90.00°
Space group I-42d (No. 122)
Unique sites:
Ga 0.000 0.000 0.000 x4
Mo 0.000 0.000 0.500 x4
I 0.186 0.250 0.625 x8

E above lowest polymorph	0.00	kJ/mol of atoms
Fermi-level density of states	13.80	states/eV/cell
volume	36.3	A^3/atom
raw formation energy	0.72	eV per atom